Density functional theory data (PBE+U) for an optimized crystal structure of CoHgS2O8.

Calculated values
- SG = No. 148
- final energy (eV per atom) = -5.516

Geometry as extended XYZ:
```
12
Lattice="2.3896 1.3796 7.1647 -2.3896 1.3796 7.1647 0.0000 -2.7592 7.1647" Properties=species:S:1:pos:R:3 pbc="T T T"
Co 0.0000 0.0000 0.0000
Hg 0.0000 0.0000 10.7471
S 0.0000 0.0000 5.4286
S 0.0000 0.0000 16.0656
O -0.9715 -1.4099 8.4493
O 0.0000 0.0000 3.9151
O -1.7068 0.1363 13.0449
O -0.7353 1.5463 8.4493
O 0.7353 -1.5463 13.0449
O 1.7068 -0.1363 8.4493
O 0.0000 0.0000 17.5791
O 0.9715 1.4099 13.0449
```